# 1
{
  "formula": "Tb4TmCd2",
  "functional": "PBE-GGA",
  "state": "relaxed",
  "m_tot_mub_per_fu": 0.00,
  "ef_mev_per_atom": 219,
  "sg": "No. 166",
  "lattice": [[-3.1230, -3.0247, -2.7535], [0.5407, -5.1140, 0.1953], [-7.2673, -3.0966, 6.8350]],
  "species": ["Tb", "Tb", "Tb", "Tb", "Cd", "Cd", "Tm"],
  "frac_coords": [[0.8899, 0.8899, 0.3303], [0.2954, 0.2954, 0.1139], [0.7046, 0.7046, 0.8861], [0.1101, 0.1101, 0.6697], [0.4000, 0.4000, 0.8000], [0.6000, 0.6000, 0.2000], [0.5000, 0.5000, 0.5000]]
}



# 2
{
  "formula": "PmSn6Rh",
  "functional": "PBE-GGA",
  "state": "relaxed",
  "m_tot_mub_per_fu": 0.00,
  "ef_mev_per_atom": -237,
  "de_polymorph_mev_per_atom": 52,
  "sg": "No. 12",
  "lattice": [[-5.7960, -3.7881, -0.3493], [-2.9885, -2.1640, 5.3849], [-4.4360, 3.4033, 2.8624]],
  "species": ["Sn", "Sn", "Sn", "Sn", "Sn", "Sn", "Rh", "Pm"],
  "frac_coords": [[0.7469, 0.1744, 0.4551], [0.7469, 0.6295, 0.5449], [0.2910, 0.2605, 0.0000], [0.7090, 0.7395, 0.0000], [0.2531, 0.3705, 0.4551], [0.2531, 0.8256, 0.5449], [0.5000, 0.5000, 0.0000], [0.0000, 0.0000, 0.0000]]
}



# 3
{
  "formula": "SnTeAsF2",
  "functional": "PBE-GGA",
  "state": "relaxed",
  "m_tot_mub_per_fu": 0.00,
  "formation_energy_uncorrected_ev_per_atom": -1.13,
  "sg": "No. 123",
  "lattice": [[4.2727, 0.0000, 0.0000], [0.0000, 4.2727, 0.0000], [0.0000, 0.0000, 5.9202]],
  "species": ["Sn", "Te", "F", "F", "As"],
  "frac_coords": [[0.0000, 0.0000, 0.0000], [0.5000, 0.5000, 0.5000], [0.5000, 0.0000, 0.0000], [0.0000, 0.5000, 0.0000], [0.0000, 0.0000, 0.5000]]
}